(1)
NaNiHgBi: optimized geometry, GGA-PBE.

Lattice parameters (Å, degrees): 7.050 7.050 7.050 90.00 90.00 90.00
Space group F-43m (No. 216)
Symmetry-distinct sites (fractional):
Na (0.000, 0.000, 0.000) [4 per cell]
Ni (0.250, 0.250, 0.250) [4 per cell]
Hg (0.250, 0.250, 0.750) [4 per cell]
Bi (0.000, 0.000, 0.500) [4 per cell]

Output
- ΔE to the lowest computed polymorph (eV per atom) = 0.104
- total magnetic moment (μB/f.u.) = 0.01


(2)
NaHgBiPt: optimized geometry, GGA-PBE.

Lattice parameters (Å, degrees): 7.004 7.004 7.004 90.00 90.00 90.00
Space group F-43m (No. 216)
Symmetry-distinct sites (fractional):
Na (0.000, 0.000, 0.000) [4 per cell]
Hg (0.250, 0.250, 0.750) [4 per cell]
Bi (0.250, 0.250, 0.250) [4 per cell]
Pt (0.000, 0.000, 0.500) [4 per cell]

Output
- ΔE to the lowest computed polymorph (eV per atom) = 0.000
- total magnetic moment (μB/f.u.) = 0.00


(3)
NaHgBiPt: optimized geometry, GGA-PBE.

Lattice parameters (Å, degrees): 7.107 7.107 7.107 90.00 90.00 90.00
Space group F-43m (No. 216)
Symmetry-distinct sites (fractional):
Na (0.000, 0.000, 0.000) [4 per cell]
Hg (0.250, 0.250, 0.750) [4 per cell]
Bi (0.000, 0.000, 0.500) [4 per cell]
Pt (0.250, 0.250, 0.250) [4 per cell]

Output
- ΔE to the lowest computed polymorph (eV per atom) = 0.062
- total magnetic moment (μB/f.u.) = 0.00